1.
# SrCa2Te PBE relaxed
# E = -2.903 eV/atom
data_SrCa2Te
_cell_length_a 3.9925
_cell_length_b 3.9925
_cell_length_c 9.8607
_cell_angle_alpha 90.00
_cell_angle_beta 90.00
_cell_angle_gamma 90.00
_symmetry_space_group_name_H-M 'P 4 m m'
_symmetry_Int_Tables_number 99
loop_
_symmetry_equiv_pos_as_xyz
'x,y,z'
'-y,x,z'
'-x,-y,z'
'y,-x,z'
'-x,y,z'
'y,x,z'
'x,-y,z'
'-y,-x,z'
loop_
_atom_site_label
_atom_site_fract_x
_atom_site_fract_y
_atom_site_fract_z
Sr1 0.0000 0.0000 0.0000
Ca1 0.0000 0.0000 0.3856
Ca2 0.5000 0.5000 0.6799
Te1 0.5000 0.5000 0.2132

2.
# Sr2CaTe PBE relaxed
# E = -2.656 eV/atom
data_Sr2CaTe
_cell_length_a 10.1160
_cell_length_b 10.1160
_cell_length_c 7.3263
_cell_angle_alpha 90.00
_cell_angle_beta 90.00
_cell_angle_gamma 90.00
_symmetry_space_group_name_H-M 'I -4 2 d'
_symmetry_Int_Tables_number 122
_symmetry_space_group_name_Hall 'I -4 2bw'
loop_
_atom_site_label
_atom_site_fract_x
_atom_site_fract_y
_atom_site_fract_z
Sr1 0.1809 0.2500 0.1250
Ca1 0.0000 0.0000 0.5000
Te1 0.0000 0.0000 0.0000

3.
# Sr3CaTe PBE relaxed
# E = -2.504 eV/atom
# Excess energy over the best structure of this formula in the dataset = 0.0 kJ/mol of formula units
data_Sr3CaTe
_cell_length_a 6.3917
_cell_length_b 6.3917
_cell_length_c 6.3917
_cell_angle_alpha 90.00
_cell_angle_beta 90.00
_cell_angle_gamma 90.00
_symmetry_space_group_name_H-M 'P m -3 m'
_symmetry_Int_Tables_number 221
_symmetry_space_group_name_Hall '-P 4 2 3'
loop_
_atom_site_label
_atom_site_fract_x
_atom_site_fract_y
_atom_site_fract_z
Sr1 0.0000 0.0000 0.5000
Ca1 0.5000 0.5000 0.5000
Te1 0.0000 0.0000 0.0000

4.
# Sr4CaTe5 PBE relaxed
# E = -4.163 eV/atom
data_Sr4CaTe5
_cell_length_a 4.7150
_cell_length_b 4.7150
_cell_length_c 33.2773
_cell_angle_alpha 90.00
_cell_angle_beta 90.00
_cell_angle_gamma 90.00
_symmetry_space_group_name_H-M 'I 4/m m m'
_symmetry_Int_Tables_number 139
_symmetry_space_group_name_Hall '-I 4 2'
loop_
_atom_site_label
_atom_site_fract_x
_atom_site_fract_y
_atom_site_fract_z
Sr1 0.0000 0.0000 0.0988
Sr2 0.0000 0.0000 0.3010
Ca1 0.0000 0.0000 0.5000
Te1 0.0000 0.0000 0.0000
Te2 0.0000 0.0000 0.1998
Te3 0.0000 0.0000 0.4027

5.
# Sr2CaTe PBE relaxed
# E = -2.412 eV/atom
data_Sr2CaTe
_cell_length_a 8.6030
_cell_length_b 8.6030
_cell_length_c 8.6030
_cell_angle_alpha 90.00
_cell_angle_beta 90.00
_cell_angle_gamma 90.00
_symmetry_space_group_name_H-M 'F -4 3 m'
_symmetry_Int_Tables_number 216
_symmetry_space_group_name_Hall 'F -4 2 3'
loop_
_atom_site_label
_atom_site_fract_x
_atom_site_fract_y
_atom_site_fract_z
Sr1 0.0000 0.0000 0.0000
Sr2 0.2500 0.2500 0.2500
Ca1 0.0000 0.0000 0.5000
Te1 0.2500 0.2500 0.7500

6.
# SrCa2Te PBE relaxed
# E = -2.785 eV/atom
data_SrCa2Te
_cell_length_a 4.8850
_cell_length_b 4.8850
_cell_length_c 12.5303
_cell_angle_alpha 90.00
_cell_angle_beta 90.00
_cell_angle_gamma 90.00
_symmetry_space_group_name_H-M 'I 4/m m m'
_symmetry_Int_Tables_number 139
_symmetry_space_group_name_Hall '-I 4 2'
loop_
_atom_site_label
_atom_site_fract_x
_atom_site_fract_y
_atom_site_fract_z
Sr1 0.0000 0.0000 0.0000
Ca1 0.0000 0.5000 0.2500
Te1 0.0000 0.0000 0.5000

7.
# Sr2Ca2Te PBE relaxed
# E = -2.514 eV/atom
# Excess energy over the best structure of this formula in the dataset = 0.0 kJ/mol of formula units
data_Sr2Ca2Te
_cell_length_a 8.3819
_cell_length_b 8.3819
_cell_length_c 6.2853
_cell_angle_alpha 90.00
_cell_angle_beta 90.00
_cell_angle_gamma 90.00
_symmetry_space_group_name_H-M 'P 4/m b m'
_symmetry_Int_Tables_number 127
_symmetry_space_group_name_Hall '-P 4 2ab'
loop_
_atom_site_label
_atom_site_fract_x
_atom_site_fract_y
_atom_site_fract_z
Sr1 0.1617 0.3383 0.0000
Ca1 0.1559 0.6559 0.5000
Te1 0.0000 0.0000 0.5000

8.
# SrCa2Te PBE relaxed
# E = -2.769 eV/atom
data_SrCa2Te
_cell_length_a 10.0043
_cell_length_b 10.0043
_cell_length_c 6.9809
_cell_angle_alpha 90.00
_cell_angle_beta 90.00
_cell_angle_gamma 90.00
_symmetry_space_group_name_H-M 'I -4 2 d'
_symmetry_Int_Tables_number 122
_symmetry_space_group_name_Hall 'I -4 2bw'
loop_
_atom_site_label
_atom_site_fract_x
_atom_site_fract_y
_atom_site_fract_z
Sr1 0.0000 0.0000 0.0000
Ca1 0.1728 0.2500 0.6250
Te1 0.0000 0.0000 0.5000